Entry 1:
DFT (SCAN) results for a PBEsol-optimized structure of KHgIrCl2.

Values from the calculation:
Total magnetic moment (μB per formula unit): 2.84

Unit cell a=5.397 b=5.397 c=5.236 alpha=90.00 beta=90.00 gamma=90.00
Last column: magnetic moment on the atom in μB.
Fractional positions:
1 K 0.000 0.000 0.000  0.06
2 Ir 0.000 0.000 0.500  2.25
3 Hg 0.500 0.500 0.500  0.08
4 Cl 0.000 0.500 0.000  0.07
5 Cl 0.500 0.000 0.000  0.07

---

Entry 2:
DFT (SCAN) results for a PBEsol-optimized structure of RbHgIrCl2.

Values from the calculation:
Total magnetic moment (μB per formula unit): 4.04

Unit cell a=5.892 b=5.892 c=6.202 alpha=90.00 beta=90.00 gamma=90.00
Last column: magnetic moment on the atom in μB.
Fractional positions:
1 Ir 0.500 0.500 0.500  3.05
2 Hg 0.000 0.000 0.500  0.02
3 Rb 0.000 0.000 0.000  0.00
4 Cl 0.000 0.500 0.000  0.17
5 Cl 0.500 0.000 0.000  0.17

---

Entry 3:
DFT (SCAN) results for a PBEsol-optimized structure of K2HgCl.

Values from the calculation:
Total magnetic moment (μB per formula unit): 0.00
E above lowest polymorph (eV per formula unit): 0.00

Unit cell a=3.788 b=4.045 c=9.363 alpha=102.36 beta=101.67 gamma=90.00
Fractional positions:
1 K 0.031 0.032 0.063
2 K 0.818 0.316 0.636
3 Hg 0.197 0.697 0.393
4 Cl 0.454 0.455 0.908

---

Entry 4:
DFT (SCAN) results for a PBEsol-optimized structure of K2HgCl.

Values from the calculation:
Total magnetic moment (μB per formula unit): 0.00
E above lowest polymorph (eV per formula unit): 0.56

Unit cell a=4.424 b=6.405 c=6.405 alpha=63.30 beta=69.80 gamma=69.80
Fractional positions:
1 K 0.203 0.797 0.797
2 K 0.797 0.203 0.203
3 Hg 0.000 0.500 0.500
4 Cl 0.500 0.000 0.000

---

Entry 5:
DFT (SCAN) results for a PBEsol-optimized structure of KHg5Cl11.

Values from the calculation:
Total magnetic moment (μB per formula unit): 0.00

Unit cell a=6.431 b=9.033 c=9.033 alpha=101.17 beta=107.06 gamma=107.06
Fractional positions:
1 K 0.000 0.000 0.000
2 Hg 0.686 0.018 0.354
3 Hg 0.314 0.982 0.646
4 Hg 0.314 0.646 0.982
5 Hg 0.686 0.354 0.018
6 Hg 0.000 0.500 0.500
7 Cl 0.394 0.652 0.652
8 Cl 0.606 0.348 0.348
9 Cl 0.705 0.141 0.704
10 Cl 0.295 0.859 0.296
11 Cl 0.295 0.296 0.859
12 Cl 0.705 0.704 0.141
13 Cl 0.500 0.000 0.000
14 Cl 0.921 0.829 0.582
15 Cl 0.079 0.171 0.418
16 Cl 0.079 0.418 0.171
17 Cl 0.921 0.582 0.829

---

Entry 6:
DFT (SCAN) results for a PBEsol-optimized structure of K2HgCl.

Values from the calculation:
Total magnetic moment (μB per formula unit): 0.64
E above lowest polymorph (eV per formula unit): 1.57

Unit cell a=5.698 b=5.698 c=5.698 alpha=60.00 beta=60.00 gamma=60.00
Last column: magnetic moment on the atom in μB.
Fractional positions:
1 K 0.000 0.000 0.000  0.03
2 K 0.750 0.750 0.750  0.02
3 Hg 0.250 0.250 0.250  0.07
4 Cl 0.500 0.500 0.500  0.04

---

Entry 7:
DFT (SCAN) results for a PBEsol-optimized structure of K2HgNCl.

Values from the calculation:
Total magnetic moment (μB per formula unit): 0.89

Unit cell a=4.733 b=5.327 c=5.327 alpha=90.00 beta=90.00 gamma=90.00
Last column: magnetic moment on the atom in μB.
Fractional positions:
1 K 0.000 0.000 0.500  0.00
2 K 0.000 0.500 0.000  0.00
3 N 0.000 0.000 0.000  0.61
4 Hg 0.500 0.500 0.500  0.00
5 Cl 0.500 0.000 0.000  -0.01

---

Entry 8:
DFT (SCAN) results for a PBEsol-optimized structure of K2HgRhCl.

Values from the calculation:
Total magnetic moment (μB per formula unit): 1.98

Unit cell a=5.462 b=6.324 c=6.324 alpha=90.00 beta=90.00 gamma=90.00
Last column: magnetic moment on the atom in μB.
Fractional positions:
1 K 0.000 0.000 0.500  0.00
2 K 0.000 0.500 0.000  0.00
3 Rh 0.500 0.500 0.500  1.86
4 Hg 0.000 0.000 0.000  0.00
5 Cl 0.500 0.000 0.000  0.01

---

Entry 9:
DFT (SCAN) results for a PBEsol-optimized structure of KHgSe2Cl.

Values from the calculation:
Total magnetic moment (μB per formula unit): 4.00

Unit cell a=5.561 b=6.092 c=6.092 alpha=90.00 beta=90.00 gamma=90.00
Last column: magnetic moment on the atom in μB.
Fractional positions:
1 K 0.000 0.000 0.000  0.00
2 Hg 0.500 0.500 0.500  0.11
3 Se 0.000 0.000 0.500  1.05
4 Se 0.000 0.500 0.000  1.05
5 Cl 0.500 0.000 0.000  0.17

---

Entry 10:
DFT (SCAN) results for a PBEsol-optimized structure of K2TlHgCl6.

Values from the calculation:
Total magnetic moment (μB per formula unit): 0.00

Unit cell a=7.512 b=7.512 c=7.512 alpha=60.00 beta=60.00 gamma=60.00
Fractional positions:
1 K 0.750 0.750 0.750
2 K 0.250 0.250 0.250
3 Tl 0.000 0.000 0.000
4 Hg 0.500 0.500 0.500
5 Cl 0.746 0.254 0.254
6 Cl 0.746 0.746 0.254
7 Cl 0.254 0.746 0.746
8 Cl 0.746 0.254 0.746
9 Cl 0.254 0.746 0.254
10 Cl 0.254 0.254 0.746

---

Entry 11:
DFT (SCAN) results for a PBEsol-optimized structure of La2HgCl.

Values from the calculation:
Total magnetic moment (μB per formula unit): 0.00
E above lowest polymorph (eV per formula unit): 0.68

Unit cell a=3.785 b=3.847 c=8.168 alpha=103.62 beta=103.40 gamma=90.00
Fractional positions:
1 Cl 0.455 0.455 0.910
2 Hg 0.200 0.700 0.400
3 La 0.037 0.037 0.075
4 La 0.807 0.307 0.615

---

Entry 12:
DFT (SCAN) results for a PBEsol-optimized structure of La2HgCl.

Values from the calculation:
Total magnetic moment (μB per formula unit): 0.00
E above lowest polymorph (eV per formula unit): 0.66

Unit cell a=3.322 b=5.589 c=5.589 alpha=90.00 beta=90.00 gamma=90.00
Fractional positions:
1 Cl 0.500 0.500 0.500
2 Hg 0.500 0.000 0.000
3 La 0.000 0.000 0.500
4 La 0.000 0.500 0.000

---

Number 1: volume 30.50 A^3/atom, ΔE_f (raw) 0.908 eV/atom. Number 2: volume 43.06 A^3/atom, ΔE_f (raw) 0.804 eV/atom. Number 3: volume 34.28 A^3/atom, ΔE_f (raw) -1.118 eV/atom. Number 4: volume 37.05 A^3/atom, ΔE_f (raw) -0.979 eV/atom. Number 5: volume 26.85 A^3/atom, ΔE_f (raw) -0.839 eV/atom. Number 6: volume 32.70 A^3/atom, ΔE_f (raw) -0.726 eV/atom. Number 7: volume 26.86 A^3/atom, ΔE_f (raw) 0.045 eV/atom. Number 8: volume 43.69 A^3/atom, ΔE_f (raw) 0.321 eV/atom. Number 9: volume 41.27 A^3/atom, ΔE_f (raw) 0.286 eV/atom. Number 10: volume 29.97 A^3/atom, ΔE_f (raw) -1.269 eV/atom. Number 11: volume 28.07 A^3/atom, ΔE_f (raw) -1.105 eV/atom. Number 12: volume 25.94 A^3/atom, ΔE_f (raw) -1.111 eV/atom.